[1]
Zr2SiSb | PBE | optimized geometry

```
4
Lattice="3.659 0.000 0.000 0.000 3.659 0.000 0.000 0.000 6.130" Properties=species:S:1:pos:R:3 pbc="T T T"
Zr 0.000 0.000 1.450
Zr 0.000 0.000 4.680
Si 1.829 1.829 0.000
Sb 1.829 1.829 3.065
```

The calculation puts the excess energy over the best structure of this formula in the dataset at 238.0 meV per atom. The space group is P4/mmm. For the theoretical density, the calculation gives 6.72 g/cm³. The formation energy from raw total energies is -10.033 kcal/mol of atoms. The calculation puts the energy at -28.4 eV per cell. The crystal system is tetragonal.



[2]
PrTaNbOs2 | PBE | optimized geometry

```
5
Lattice="-2.211 2.211 5.402 2.211 -2.211 5.402 2.211 2.211 -5.402" Properties=species:S:1:pos:R:3 pbc="T T T"
Pr 0.000 0.000 0.000
Ta 2.211 0.000 2.701
Nb 0.000 2.211 2.701
Os 0.000 0.000 4.108
Os 0.000 0.000 6.697
```

The space group is I-4m2. For the theoretical density, the calculation gives 12.50 g/cm³. The value obtained for the calculated formation energy is -0.252 eV/atom. The calculation puts the energy at -50.4 eV per cell. The crystal system is tetragonal.



[3]
Cr2CdSeS | PBE | optimized geometry

```
5
Lattice="5.375 0.000 0.000 0.000 5.375 0.000 0.000 0.000 4.580" Properties=species:S:1:pos:R:3 pbc="T T T"
Cr 0.000 2.687 0.000
Cr 2.687 0.000 0.000
Cd 0.000 0.000 0.000
Se 2.687 2.687 2.290
S 0.000 0.000 2.290
```

The space group is P4/mmm. For the theoretical density, the calculation gives 4.11 g/cm³. The formation energy from raw total energies is 25.810 kcal/mol of atoms. The calculation puts the energy at -22.2 eV per cell. The crystal system is tetragonal.